(1)
CaSiCl2: relaxed, PBEsol.

Computed properties:
* total DFT energy (no corrections): -3.89 eV per atom
* energy relative to the lowest polymorph listed for this composition: 0 meV per atom
* ΔE_f (raw): -0.92 eV/atom

Unit cell a=3.6144 b=3.6144 c=10.6857 alpha=80.26 beta=80.26 gamma=60.00
Last column: nearest neighbours and their distance in Å.
Fractional positions:
Ca (0.0000, 0.0000, 0.0000)  6 Cl 2.64
Cl (0.2817, 0.2817, 0.1549)  3 Ca 2.64
Cl (0.7183, 0.7183, 0.8451)  3 Ca 2.64
Si (0.5000, 0.5000, 0.5000)  6 Si 3.61

(2)
CaSiCl2: relaxed, PBEsol.

Computed properties:
* total DFT energy (no corrections): -3.75 eV per atom
* energy relative to the lowest polymorph listed for this composition: 143 meV per atom
* ΔE_f (raw): -0.77 eV/atom

Unit cell a=6.2451 b=6.2451 c=6.2451 alpha=105.54 beta=105.54 gamma=117.66
Last column: nearest neighbours and their distance in Å.
Fractional positions:
Ca (0.2500, 0.7500, 0.5000)  4 Cl 2.77
Ca (0.0000, 0.0000, 0.0000)  4 Cl 2.77
Si (0.7500, 0.2500, 0.5000)  4 Cl 2.81
Si (0.5000, 0.5000, 0.0000)  4 Cl 2.81
Cl (0.8783, 0.8750, 0.5033)  2 Ca 2.77, 2 Si 2.81
Cl (0.3717, 0.3750, 0.4967)  2 Ca 2.77, 2 Si 2.81
Cl (0.6250, 0.1217, 0.9967)  2 Ca 2.77, 2 Si 2.81
Cl (0.1250, 0.6283, 0.0033)  2 Ca 2.77, 2 Si 2.81

(3)
CaSnCl2: relaxed, PBEsol.

Computed properties:
* total DFT energy (no corrections): -3.53 eV per atom
* ΔE_f (raw): -0.93 eV/atom

Unit cell a=5.1140 b=5.1140 c=5.1140 alpha=60.00 beta=60.00 gamma=60.00
Last column: nearest neighbours and their distance in Å.
Fractional positions:
Ca (0.0000, 0.0000, 0.0000)  8 Cl 3.13
Sn (0.5000, 0.5000, 0.5000)  8 Cl 3.13
Cl (0.2500, 0.2500, 0.2500)  4 Sn 3.13, 4 Ca 3.13
Cl (0.7500, 0.7500, 0.7500)  4 Ca 3.13, 4 Sn 3.13

(4)
CaSnTe2Cl: relaxed, PBEsol.

Computed properties:
* total DFT energy (no corrections): -3.57 eV per atom
* ΔE_f (raw): -0.48 eV/atom

Unit cell a=4.9681 b=5.8085 c=5.8085 alpha=90.00 beta=90.00 gamma=90.00
Last column: nearest neighbours and their distance in Å.
Fractional positions:
Ca (0.0000, 0.0000, 0.0000)  2 Cl 2.48
Te (0.0000, 0.0000, 0.5000)  2 Ca 2.90
Te (0.0000, 0.5000, 0.0000)  2 Ca 2.90
Sn (0.5000, 0.5000, 0.5000)  8 Te 3.82, 4 Cl 4.11
Cl (0.5000, 0.0000, 0.0000)  2 Ca 2.48

(5)
CaTaCl2: relaxed, PBEsol.

Computed properties:
* total DFT energy (no corrections): -4.83 eV per atom
* energy relative to the lowest polymorph listed for this composition: 163 meV per atom
* ΔE_f (raw): -0.15 eV/atom

Unit cell a=3.6495 b=3.6495 c=6.8282 alpha=105.50 beta=105.50 gamma=90.00
Last column: nearest neighbours and their distance in Å.
Fractional positions:
Ca (0.2500, 0.7500, 0.5000)  4 Cl 2.58
Cl (0.0000, 0.0000, 0.0000)  4 Ta 2.58
Cl (0.7500, 0.2500, 0.5000)  4 Ca 2.58
Ta (0.5000, 0.5000, 0.0000)  4 Cl 2.58

(6)
CaTaCl2: relaxed, PBEsol.

Computed properties:
* total DFT energy (no corrections): -4.99 eV per atom
* energy relative to the lowest polymorph listed for this composition: 0 meV per atom
* ΔE_f (raw): -0.32 eV/atom

Unit cell a=3.1551 b=3.1551 c=10.0746 alpha=90.00 beta=90.00 gamma=90.00
Last column: nearest neighbours and their distance in Å.
Fractional positions:
Ca (0.5000, 0.5000, 0.5000)  8 Cl 2.75
Cl (0.0000, 0.0000, 0.6594)  4 Ca 2.75
Cl (0.0000, 0.0000, 0.3406)  4 Ca 2.75
Ta (0.5000, 0.5000, 0.0000)  4 Ta 3.16

What did the first record say?
CaSiCl2: relaxed, PBEsol.

Computed properties:
* total DFT energy (no corrections): -3.89 eV per atom
* energy relative to the lowest polymorph listed for this composition: 0 meV per atom
* ΔE_f (raw): -0.92 eV/atom

Unit cell a=3.6144 b=3.6144 c=10.6857 alpha=80.26 beta=80.26 gamma=60.00
Last column: nearest neighbours and their distance in Å.
Fractional positions:
Ca (0.0000, 0.0000, 0.0000)  6 Cl 2.64
Cl (0.2817, 0.2817, 0.1549)  3 Ca 2.64
Cl (0.7183, 0.7183, 0.8451)  3 Ca 2.64
Si (0.5000, 0.5000, 0.5000)  6 Si 3.61

Question: What is the total DFT energy (no corrections) in the fifth record?
Answer: -4.83 eV per atom

Repeat the first record exactly.
CaSiCl2: relaxed, PBEsol.

Computed properties:
* total DFT energy (no corrections): -3.89 eV per atom
* energy relative to the lowest polymorph listed for this composition: 0 meV per atom
* ΔE_f (raw): -0.92 eV/atom

Unit cell a=3.6144 b=3.6144 c=10.6857 alpha=80.26 beta=80.26 gamma=60.00
Last column: nearest neighbours and their distance in Å.
Fractional positions:
Ca (0.0000, 0.0000, 0.0000)  6 Cl 2.64
Cl (0.2817, 0.2817, 0.1549)  3 Ca 2.64
Cl (0.7183, 0.7183, 0.8451)  3 Ca 2.64
Si (0.5000, 0.5000, 0.5000)  6 Si 3.61